Mg3TiGe | SCAN | PBEsol geometry

a b c (Å): 4.9633 4.9633 4.9633
angles (deg): 90.00 90.00 90.00
Fractional coordinates of all 5 atoms:
Ge 0.0000 0.0000 0.0000
Mg 0.0000 0.5000 0.0000
Mg 0.0000 0.0000 0.5000
Mg 0.5000 0.0000 0.0000
Ti 0.5000 0.5000 0.5000

Computed properties:
Calculated formation energy: 2.61 eV/f.u.
Symmetry: Pm-3m
Total moment: 0.582 μB per atom
DOS at the Fermi energy: 5.093 states/eV/f.u.
Volume: 24.45 Å³ per atom

Ba2ZrBeIn | SCAN | PBEsol geometry

a b c (Å): 4.5338 6.0840 6.0840
angles (deg): 90.00 90.00 90.00
Fractional coordinates of all 5 atoms:
Be 0.0000 0.0000 0.0000
Ba 0.0000 0.0000 0.5000
Ba 0.0000 0.5000 0.0000
Zr 0.5000 0.5000 0.5000
In 0.5000 0.0000 0.0000

Computed properties:
Calculated formation energy: 2.58 eV/f.u.
Symmetry: P4/mmm
Total moment: 0.656 μB per atom
DOS at the Fermi energy: 5.917 states/eV/f.u.
Volume: 33.56 Å³ per atom

Repeat the first record exactly.
Mg3TiGe | SCAN | PBEsol geometry

a b c (Å): 4.9633 4.9633 4.9633
angles (deg): 90.00 90.00 90.00
Fractional coordinates of all 5 atoms:
Ge 0.0000 0.0000 0.0000
Mg 0.0000 0.5000 0.0000
Mg 0.0000 0.0000 0.5000
Mg 0.5000 0.0000 0.0000
Ti 0.5000 0.5000 0.5000

Computed properties:
Calculated formation energy: 2.61 eV/f.u.
Symmetry: Pm-3m
Total moment: 0.582 μB per atom
DOS at the Fermi energy: 5.093 states/eV/f.u.
Volume: 24.45 Å³ per atom